*w*
An optimized crystal structure of TaBeCoB, computed with GGA-PBE.

Output
**Symmetry**: F-43m, No. 216
**Total moment**: 1.2 μB/f.u.

Geometry as extended XYZ:
```
4
Lattice="1.4165 -1.5903 3.2527 -2.4231 -1.4903 2.6502 -0.1820 -3.8485 0.5213" Properties=species:S:1:pos:R:3 pbc="T T T"
B 0.0000 0.0000 0.0000
Be -0.5943 -3.4645 3.2121
Co -0.8914 -5.1968 4.8181
Ta -0.2971 -1.7323 1.6060
```

---

*x*
An optimized crystal structure of TaBeCoB, computed with GGA-PBE.

Output
**Symmetry**: F-43m, No. 216
**Total moment**: 0.0 μB/f.u.

Geometry as extended XYZ:
```
4
Lattice="3.3524 0.4600 1.9787 0.5443 3.1843 2.2202 0.0291 -0.3163 3.9069" Properties=species:S:1:pos:R:3 pbc="T T T"
B 0.0000 0.0000 0.0000
Be 0.9815 0.8320 2.0264
Co 2.9444 2.4960 6.0793
Ta 1.9629 1.6640 4.0529
```

---

It is *x* that is the least stable of them.